# Ce2ErSe4

A relaxed Ce2ErSe4 crystal (GGA-PBE, Alexandria).

## Properties
- total moment (μB per atom) = 0.3109
- relative energy among the computed polymorphs (meV/atom) = 0

abc: 8.2287 8.3794 11.5872
angles: 90.00 90.00 90.00
With the nearest neighbours (Å) after each atom.
Space group Imma (No. 74)
Asymmetric unit:
Ce  0.0000  0.0000  0.0000 x4  6 Se 2.94-2.98
Ce  0.2500  0.2500  0.2500 x4  6 Se 2.95-3.00
Er  0.2500  0.2500  0.7500 x4  6 Se 2.84-2.88
Se  0.0000  0.0099  0.7426 x8  2 Er 2.88, 3 Ce 2.98-3.00
Se  0.2497  0.2500  0.5050 x8  1 Er 2.84, 3 Ce 2.94-2.95

***

# Ce3ErSe6

A relaxed Ce3ErSe6 crystal (GGA-PBE, Alexandria).

## Properties
- total moment (μB per atom) = 0.3021
- relative energy among the computed polymorphs (meV/atom) = 5

abc: 12.9163 12.9163 12.3008
angles: 90.00 90.00 120.00
With the nearest neighbours (Å) after each atom.
Space group R-3 (No. 148, hexagonal axes)
Asymmetric unit:
Ce  0.0535  0.2798  0.1591 x18  6 Se 2.90-3.12
Er  0.0000  0.0000  0.0000 x3  6 Se 2.82
Er  0.0000  0.0000  0.5000 x3  6 Se 2.80
Se  0.0335  0.2060  0.8905 x18  1 Er 2.82, 3 Ce 2.98-3.12
Se  0.0472  0.2075  0.3868 x18  1 Er 2.80, 3 Ce 2.90-3.10